DFT (PBE-GGA) results for a relaxed structure of CuAgAs.

As for the mass density: 8.21 g cm⁻³. The energy above the most stable polymorph in this dataset comes out at 95.9 meV/atom.

It has space group I4mm (No. 107), with a = 2.869 Å, b = 2.869 Å, c = 12.101 Å, α = 90.00°, β = 90.00° and γ = 90.00°. The asymmetric unit holds Cu at (0.000, 0.000, 0.000), Ag at (0.000, 0.000, 0.658) and As at (0.000, 0.000, 0.356).

***

DFT (PBE-GGA) results for a relaxed structure of CuAg2As.

As for the mass density: 8.62 g cm⁻³.

It has space group Cm (No. 8), with a = 9.759 Å, b = 3.020 Å, c = 4.850 Å, α = 90.00°, β = 107.41° and γ = 90.00°. The asymmetric unit holds Cu at (0.000, 0.000, 0.000), Ag at (0.255, 0.000, 0.791), Ag at (0.475, 0.000, 0.496) and As at (0.204, 0.500, 0.251).

***

DFT (PBE-GGA) results for a relaxed structure of Cu2AgAs.

As for the mass density: 8.61 g cm⁻³.

It has space group P4/mmm (No. 123), with a = 4.035 Å, b = 4.035 Å, c = 3.672 Å, α = 90.00°, β = 90.00° and γ = 90.00°. The asymmetric unit holds Cu at (0.000, 0.500, 0.000), Ag at (0.000, 0.000, 0.500) and As at (0.500, 0.500, 0.500).

***

DFT (PBE-GGA) results for a relaxed structure of Cu3AgAs.

As for the mass density: 6.80 g cm⁻³. The energy above the most stable polymorph in this dataset comes out at 0.0 meV/atom.

It has space group Pm-3m (No. 221), with a = 4.501 Å, b = 4.501 Å, c = 4.501 Å, α = 90.00°, β = 90.00° and γ = 90.00°. The asymmetric unit holds Cu at (0.000, 0.000, 0.500), Ag at (0.500, 0.500, 0.500) and As at (0.000, 0.000, 0.000).

***

Sequential DFT total energy output: -3.698; -3.480; -3.801; -3.559 eV/atom
Sequential magnetic moment output: 0.00; 0.00; 0.00; 0.00 Bohr magnetons per cell
Sequential DOS(E_F) output: 3.0; 0.9; 1.5; 1.2 states/eV/cell